[1]
## MgSc2Be (PBE)

Data for crystalline MgSc2Be at its relaxed geometry.

a b c (Å): 6.7652 6.7652 6.7652
angles (deg): 90.00 90.00 90.00
With the nearest neighbours (Å) after each atom.
Space group Fm-3m (No. 225)
Unique sites:
Mg1 0.0000 0.0000 0.0000 x4  8 Sc 2.93
Sc1 0.2500 0.2500 0.2500 x8  4 Be 2.93, 4 Mg 2.93
Be1 0.0000 0.0000 0.5000 x4  8 Sc 2.93

The calculation puts the total energy at -4.44 eV per atom. The calculation puts the volume at 309.63 Å³/cell. The crystal system is cubic. The formation energy comes out at 1.32 kcal/mol of atoms. The calculation puts the energy above the most stable polymorph in this dataset at 0.116 eV per atom.

[2]
## Zn2Pd2Au (PBE)

Data for crystalline Zn2Pd2Au at its relaxed geometry.

a b c (Å): 3.8945 3.8945 11.1225
angles (deg): 90.00 90.00 90.00
With the nearest neighbours (Å) after each atom.
Space group I4/mmm (No. 139)
Unique sites:
Zn1 0.0000 0.0000 0.1061 x4  1 Zn 2.36, 4 Pd 2.52
Pd1 0.0000 0.5000 0.2500 x4  4 Zn 2.52, 4 Pd 2.75
Au1 0.0000 0.0000 0.5000 x2  8 Zn 3.00

The calculation puts the total energy at -3.36 eV per atom. The calculation puts the volume at 168.70 Å³/cell. The crystal system is tetragonal. The formation energy comes out at -2.72 kcal/mol of atoms. The calculation puts the energy above the most stable polymorph in this dataset at 0.253 eV per atom.

[3]
## PrSmP (PBE)

Data for crystalline PrSmP at its relaxed geometry.

a b c (Å): 4.0217 4.0217 6.7231
angles (deg): 90.00 90.00 120.00
With the nearest neighbours (Å) after each atom.
Space group P3m1 (No. 156)
Unique sites:
Pr1 0.0000 0.0000 0.0000 x1  3 P 2.87
Sm1 0.6667 0.3333 0.4870 x1  3 P 2.81
P1 0.3333 0.6667 0.2513 x1  3 Sm 2.81, 3 Pr 2.87

The calculation puts the total energy at -5.89 eV per atom. The calculation puts the volume at 94.17 Å³/cell. The crystal system is trigonal. The formation energy comes out at -21.33 kcal/mol of atoms.

Question: Which value of formation energy does entry 3 give?
Answer: -21.33 kcal/mol of atoms

Question: What is the formula in the third record?
Answer: PrSmP

Question: The lowest volume belongs to which entry?
Answer: PrSmP

Question: What is the formation energy in the third record?
Answer: -21.33 kcal/mol of atoms